A geometry-optimized BeCO2 structure. Source: Alexandria via LeMat-Bulk, functional GGA-PBE.

The structure in POSCAR format:
```
BeCO2
1.0
2.5717 0.0000 0.0000
1.2858 2.2271 0.0000
1.2858 0.7424 4.6878
C O Be
1 2 1
direct
0.0000 0.0000 0.0000 C
0.9021 0.9021 0.2938 O
0.0979 0.0979 0.7062 O
0.5000 0.5000 0.5000 Be
```

- Offset from the most stable computed form: 0.0 meV/atom
- Total magnetization: 0.000 Bohr magnetons per cell
- Formation energy without anion corrections: -0.434 eV/atom
- ρ: 3.28 g cm⁻³
- Symmetry: R-3m, No. 166

A geometry-optimized La2NiSe structure. Source: Alexandria via LeMat-Bulk, functional GGA-PBE.

The structure in POSCAR format:
```
La2NiSe
1.0
6.0588 0.0027 0.0428
4.7807 3.7221 0.0428
-0.0300 -0.0103 4.5551
Ni La Se
1 2 1
direct
0.4924 0.4924 0.6251 Ni
0.9987 0.9987 0.1250 La
0.7373 0.7373 0.6249 La
0.2716 0.2716 0.1250 Se
```

- Total magnetization: 0.000 Bohr magnetons per cell
- Formation energy without anion corrections: -0.971 eV/atom
- ρ: 6.72 g cm⁻³
- Symmetry: Amm2, No. 38

A geometry-optimized Ag3P structure. Source: Alexandria via LeMat-Bulk, functional GGA-PBE.

The structure in POSCAR format:
```
Ag3P
1.0
5.4709 0.0090 0.0186
2.2954 4.9661 -0.0186
-3.1246 -3.6717 2.5859
Ag P
3 1
direct
0.7121 0.7300 0.9822 Ag
0.2522 0.2700 0.9822 Ag
0.8764 0.5000 0.3764 Ag
0.3260 0.0000 0.3260 P
```

- Total magnetization: 0.000 Bohr magnetons per cell
- DFT formation energy: 0.219 eV per atom
- ρ: 8.42 g cm⁻³
- Symmetry: Imm2, No. 44

A geometry-optimized TeOs2Pb structure. Source: Alexandria via LeMat-Bulk, functional GGA-PBE.

The structure in POSCAR format:
```
TeOs2Pb
1.0
5.1477 0.0000 0.0000
1.5783 4.8998 0.0000
-3.3630 -2.4499 3.0311
Pb Os Te
1 2 1
direct
0.5000 0.5000 0.0000 Pb
0.2500 0.7500 0.5000 Os
0.0000 0.0000 0.0000 Os
0.7500 0.2500 0.5000 Te
```

- Offset from the most stable computed form: 753.2 meV/atom
- Total magnetization: 0.001 Bohr magnetons per cell
- Formation energy without anion corrections: 1.234 eV/atom
- ρ: 15.54 g cm⁻³
- Symmetry: I-4m2, No. 119

A geometry-optimized Li4TbSn4 structure. Source: Alexandria via LeMat-Bulk, functional GGA-PBE.

The structure in POSCAR format:
```
Li4TbSn4
1.0
-1.0545 2.1678 -6.0952
3.3005 -5.1311 -2.3959
-7.9598 -4.9422 -0.3807
Li Sn Tb
8 8 2
direct
0.0000 0.7292 0.4220 Li
0.2292 0.5000 0.9220 Li
0.7292 0.0000 0.5780 Li
0.7708 0.5000 0.9220 Li
0.2708 0.0000 0.5780 Li
0.0000 0.2708 0.4220 Li
0.5000 0.2292 0.0780 Li
0.5000 0.7708 0.0780 Li
0.5000 0.2229 0.7827 Sn
0.0000 0.7229 0.7173 Sn
0.2229 0.5000 0.2173 Sn
0.2771 0.0000 0.2827 Sn
0.7771 0.5000 0.2173 Sn
0.7229 0.0000 0.2827 Sn
0.5000 0.7771 0.7827 Sn
0.0000 0.2771 0.7173 Sn
0.0000 0.0000 0.0000 Tb
0.5000 0.5000 0.5000 Tb
```

- Total magnetization: 0.000 Bohr magnetons per cell
- DFT formation energy: -0.337 eV per atom
- ρ: 5.45 g cm⁻³
- Symmetry: P4_2/nmc, No. 137

A geometry-optimized LiAcZnCd6 structure. Source: Alexandria via LeMat-Bulk, functional GGA-PBE.

The structure in POSCAR format:
```
LiAcZnCd6
1.0
5.9948 0.0000 0.0000
0.0000 10.8928 0.0000
-2.9974 -5.4464 7.3330
Li Ac Cd Zn
2 2 12 2
direct
0.5000 0.0000 0.5000 Li
0.0000 0.0000 0.5000 Li
0.8169 0.5669 0.6338 Ac
0.1831 0.4331 0.3662 Ac
0.0991 0.3222 0.7025 Cd
0.5596 0.3096 0.1192 Cd
0.9009 0.6778 0.2975 Cd
0.6034 0.3222 0.7025 Cd
0.0552 0.8052 0.1104 Cd
0.6034 0.8803 0.7025 Cd
0.3966 0.1197 0.2975 Cd
0.4404 0.6904 0.8808 Cd
0.9448 0.1948 0.8896 Cd
0.0991 0.8803 0.7025 Cd
0.9009 0.1197 0.2975 Cd
0.3966 0.6778 0.2975 Cd
0.5000 0.0000 0.0000 Zn
0.5000 0.5000 0.0000 Zn
```

- Total magnetization: 0.000 Bohr magnetons per cell
- DFT formation energy: 0.067 eV per atom
- ρ: 6.75 g cm⁻³
- Symmetry: Imma, No. 74

A geometry-optimized KNaGaPt structure. Source: Alexandria via LeMat-Bulk, functional GGA-PBE.

The structure in POSCAR format:
```
KNaGaPt
1.0
-0.3718 -2.8371 3.2145
3.7478 0.4200 -2.0732
1.1717 7.2017 3.6627
Na Pt Ga K
1 1 1 1
direct
0.0037 0.8646 0.8683 Na
0.8267 0.2775 0.1042 Pt
0.4946 0.6116 0.1062 Ga
0.3671 0.0507 0.4178 K
```

- Total magnetization: 0.000 Bohr magnetons per cell
- DFT formation energy: -0.330 eV per atom
- ρ: 4.35 g cm⁻³
- Symmetry: Cm, No. 8

A geometry-optimized PmPrNd2Y structure. Source: Alexandria via LeMat-Bulk, functional GGA-PBE.

The structure in POSCAR format:
```
PmPrNd2Y
1.0
6.7722 0.0000 0.0000
0.0000 8.2146 1.3110
0.0000 -1.2016 6.2144
Y Nd Pr Pm
2 4 2 2
direct
0.8393 0.5000 0.2500 Y
0.1607 0.5000 0.7500 Y
0.3081 0.6930 0.2615 Nd
0.6919 0.3070 0.7385 Nd
0.3081 0.3070 0.2385 Nd
0.6919 0.6930 0.7615 Nd
0.0000 0.0000 0.5000 Pr
0.0000 0.0000 0.0000 Pr
0.5743 0.0000 0.2500 Pm
0.4257 0.0000 0.7500 Pm
```

- Total magnetization: 0.000 Bohr magnetons per cell
- DFT formation energy: 0.251 eV per atom
- ρ: 6.18 g cm⁻³
- Symmetry: P2/c, No. 13

A geometry-optimized MoIr2Cl structure. Source: Alexandria via LeMat-Bulk, functional GGA-PBE.

The structure in POSCAR format:
```
MoIr2Cl
1.0
-5.1641 1.3692 3.0506
-2.9256 -4.5682 -2.9020
-2.8727 -4.4127 3.3211
Cl Ir Mo
2 4 2
direct
0.5000 0.5000 0.0000 Cl
0.2500 0.7500 0.5000 Cl
0.6357 0.1250 0.2500 Ir
0.3750 0.3643 0.7500 Ir
0.8750 0.8857 0.7500 Ir
0.1143 0.6250 0.2500 Ir
0.0000 0.0000 0.0000 Mo
0.7500 0.2500 0.5000 Mo
```

- Offset from the most stable computed form: 627.9 meV/atom
- Total magnetization: 0.000 Bohr magnetons per cell
- Formation energy without anion corrections: 0.833 eV/atom
- ρ: 10.16 g cm⁻³
- Symmetry: I-42d, No. 122

A geometry-optimized AcZn2CdAu5 structure. Source: Alexandria via LeMat-Bulk, functional GGA-PBE.

The structure in POSCAR format:
```
AcZn2CdAu5
1.0
-2.2950 3.9757 -2.0196
1.5759 -1.4017 -4.5502
-6.4423 -4.1958 -0.9386
Au Zn Ac Cd
5 2 1 1
direct
0.0000 0.5000 0.2245 Au
0.0000 0.5000 0.7755 Au
0.5000 0.0000 0.7755 Au
0.5000 0.5000 0.5000 Au
0.5000 0.0000 0.2245 Au
0.5000 0.5000 0.8399 Zn
0.5000 0.5000 0.1601 Zn
0.0000 0.0000 0.5000 Ac
0.0000 0.0000 0.0000 Cd
```

- Total magnetization: 0.000 Bohr magnetons per cell
- DFT formation energy: -0.308 eV per atom
- ρ: 12.40 g cm⁻³
- Symmetry: P4/mmm, No. 123

A geometry-optimized Ba12FeSi3S20 structure. Source: Alexandria via LeMat-Bulk, functional GGA-PBE.

The structure in POSCAR format:
```
Ba12FeSi3S20
1.0
-5.2943 7.1861 -3.5235
-4.1770 -5.5987 -5.1424
-8.2890 -1.9108 8.5579
Si S Fe Ba
3 20 1 12
direct
0.5000 0.1948 0.0967 Si
0.0000 0.8074 0.9026 Si
0.5000 0.3086 0.5973 Si
0.8072 0.8119 0.4468 S
0.3160 0.3170 0.0542 S
0.6840 0.3170 0.0542 S
0.3151 0.1882 0.5563 S
0.0000 0.0152 0.9938 S
0.0000 0.4754 0.5015 S
0.0000 0.1814 0.2655 S
0.0000 0.6350 0.2276 S
0.0000 0.3220 0.7587 S
0.5000 0.1498 0.2714 S
0.5000 0.8203 0.7361 S
0.5000 0.5176 0.5046 S
0.6849 0.1882 0.5563 S
0.5000 0.9871 0.0059 S
0.1839 0.6850 0.9440 S
0.5000 0.3514 0.7718 S
0.5000 0.6817 0.2326 S
0.0000 0.8528 0.7278 S
0.8161 0.6850 0.9440 S
0.1928 0.8119 0.4468 S
0.0000 0.6895 0.4060 Fe
0.5000 0.8943 0.4807 Ba
0.2719 0.0779 0.8175 Ba
0.2328 0.5842 0.6785 Ba
0.0000 0.1025 0.5173 Ba
0.7281 0.0779 0.8175 Ba
0.2302 0.9171 0.1850 Ba
0.7299 0.4241 0.3186 Ba
0.0000 0.3873 0.0218 Ba
0.7672 0.5842 0.6785 Ba
0.2701 0.4241 0.3186 Ba
0.7698 0.9171 0.1850 Ba
0.5000 0.6152 0.9784 Ba
```

- Total magnetization: 3.981 Bohr magnetons per cell
- Formation energy without anion corrections: -1.666 eV/atom
- ρ: 4.02 g cm⁻³
- Symmetry: Pm, No. 6

A geometry-optimized PmHo2Ag structure. Source: Alexandria via LeMat-Bulk, functional GGA-PBE.

The structure in POSCAR format:
```
PmHo2Ag
1.0
3.6115 0.0000 0.0000
0.0000 3.6115 0.0000
0.0000 0.0000 8.6949
Ag Pm Ho
1 1 2
direct
0.5000 0.5000 0.0000 Ag
0.5000 0.5000 0.5000 Pm
0.0000 0.0000 0.2085 Ho
0.0000 0.0000 0.7915 Ho
```

- Offset from the most stable computed form: 0.0 meV/atom
- Total magnetization: 0.000 Bohr magnetons per cell
- DFT formation energy: -0.135 eV per atom
- ρ: 8.53 g cm⁻³
- Symmetry: P4/mmm, No. 123

A geometry-optimized Bi3PdPt structure. Source: Alexandria via LeMat-Bulk, functional GGA-PBE.

The structure in POSCAR format:
```
Bi3PdPt
1.0
6.1583 -0.2988 1.8171
1.9891 5.8359 1.8171
0.0097 0.0066 7.0541
Bi Pd Pt
6 2 2
direct
0.6847 0.6847 0.1548 Bi
0.3165 0.3165 0.3456 Bi
0.0082 0.0082 0.7395 Bi
0.9918 0.9918 0.2605 Bi
0.6835 0.6835 0.6544 Bi
0.3153 0.3153 0.8452 Bi
0.3091 0.6909 0.0000 Pd
0.6909 0.3091 0.0000 Pd
0.6899 0.3101 0.5000 Pt
0.3101 0.6899 0.5000 Pt
```

- Offset from the most stable computed form: 44.1 meV/atom
- Total magnetization: 0.000 Bohr magnetons per cell
- DFT formation energy: -0.111 eV per atom
- ρ: 11.97 g cm⁻³
- Symmetry: C2/m, No. 12

A geometry-optimized TmTh3 structure. Source: Alexandria via LeMat-Bulk, functional GGA-PBE.

The structure in POSCAR format:
```
TmTh3
1.0
3.5486 0.0000 0.0000
0.0000 6.1450 0.0000
-1.7743 -3.0725 5.8713
Th Tm
3 1
direct
0.7476 0.0772 0.4952 Th
0.5000 0.4991 0.0000 Th
0.2524 0.5819 0.5048 Th
0.0000 0.0085 0.0000 Tm
```

- Offset from the most stable computed form: 13.0 meV/atom
- Total magnetization: 0.000 Bohr magnetons per cell
- DFT formation energy: 0.051 eV per atom
- ρ: 11.22 g cm⁻³
- Symmetry: Imm2, No. 44

A geometry-optimized CaLa2TlIr structure. Source: Alexandria via LeMat-Bulk, functional GGA-PBE.

The structure in POSCAR format:
```
CaLa2TlIr
1.0
-0.5567 2.3992 4.9588
-1.9527 -4.7464 2.0772
5.2237 -1.5618 1.3421
Ca La Tl Ir
1 2 1 1
direct
0.0000 0.0000 0.5000 Ca
0.5000 0.0000 0.0000 La
0.0000 0.5000 0.0000 La
0.5000 0.5000 0.5000 Tl
0.0000 0.0000 0.0000 Ir
```

- Offset from the most stable computed form: 0.0 meV/atom
- Total magnetization: 0.000 Bohr magnetons per cell
- DFT formation energy: -0.423 eV per atom
- ρ: 6.89 g cm⁻³
- Symmetry: P4/mmm, No. 123

A geometry-optimized PmNdY4 structure. Source: Alexandria via LeMat-Bulk, functional GGA-PBE.

The structure in POSCAR format:
```
PmNdY4
1.0
3.6004 0.0001 0.0003
-0.0001 6.2331 -0.4531
-0.0012 1.2555 17.5882
Y Pm Nd
8 2 2
direct
0.5009 0.1674 0.8321 Y
0.9991 0.6674 0.3321 Y
0.4991 0.1673 0.3322 Y
0.9991 0.3327 0.1678 Y
0.5009 0.8327 0.6678 Y
0.0009 0.3326 0.6679 Y
0.4991 0.8326 0.1679 Y
0.0009 0.6673 0.8322 Y
0.0000 0.0000 0.5000 Pm
0.5000 0.5000 0.0000 Pm
0.5000 0.5000 0.5000 Nd
0.0000 0.0000 0.0000 Nd
```

- Offset from the most stable computed form: 11.1 meV/atom
- Total magnetization: 0.000 Bohr magnetons per cell
- DFT formation energy: 0.015 eV per atom
- ρ: 5.40 g cm⁻³
- Symmetry: C2/m, No. 12

A geometry-optimized Co4Tc structure. Source: Alexandria via LeMat-Bulk, functional GGA-PBE.

The structure in POSCAR format:
```
Co4Tc
1.0
-2.6618 2.6618 2.6618
2.6618 -2.6618 2.6618
2.6618 2.6618 -2.6618
Co Tc
4 1
direct
0.5000 0.0000 0.0000 Co
0.5000 0.5000 0.5000 Co
0.0000 0.0000 0.5000 Co
0.0000 0.5000 0.0000 Co
0.0000 0.0000 0.0000 Tc
```

- Offset from the most stable computed form: 1113.3 meV/atom
- Total magnetization: 3.473 Bohr magnetons per cell
- DFT formation energy: 1.187 eV per atom
- ρ: 7.35 g cm⁻³
- Symmetry: Im-3m, No. 229

A geometry-optimized AcPu2Si6 structure. Source: Alexandria via LeMat-Bulk, functional GGA-PBE.

The structure in POSCAR format:
```
AcPu2Si6
1.0
-3.5937 -1.1036 1.4506
-3.3483 -3.7021 -5.5149
0.4256 -7.3504 1.0589
Si Ac Pu
6 1 2
direct
0.5000 0.3403 0.6597 Si
0.6886 0.0512 0.5715 Si
0.6886 0.5715 0.0512 Si
0.5000 0.6597 0.3403 Si
0.3114 0.9488 0.4285 Si
0.3114 0.4285 0.9488 Si
0.0000 0.0000 0.0000 Ac
0.1427 0.3573 0.3573 Pu
0.8573 0.6427 0.6427 Pu
```

- Offset from the most stable computed form: 125.1 meV/atom
- Total magnetization: 11.243 Bohr magnetons per cell
- Formation energy without anion corrections: -0.302 eV/atom
- ρ: 7.47 g cm⁻³
- Symmetry: Immm, No. 71

A geometry-optimized RbCeHS3 structure. Source: Alexandria via LeMat-Bulk, functional GGA-PBE.

The structure in POSCAR format:
```
RbCeHS3
1.0
-1.4960 -1.1865 3.8199
-1.9811 -7.7515 -3.1835
9.4922 0.6451 3.9177
Ce H S Rb
2 2 6 2
direct
0.2500 0.6628 0.1817 Ce
0.7500 0.3372 0.8183 Ce
0.2500 0.0246 0.6501 H
0.7500 0.9754 0.3499 H
0.7500 0.4332 0.1106 S
0.2500 0.5668 0.8894 S
0.2500 0.0965 0.7956 S
0.7500 0.9035 0.2044 S
0.7500 0.2936 0.5647 S
0.2500 0.7064 0.4353 S
0.2500 0.2674 0.3112 Rb
0.7500 0.7326 0.6888 Rb
```

- Total magnetization: 0.000 Bohr magnetons per cell
- ρ: 3.11 g cm⁻³
- Symmetry: P2_1/m, No. 11

A geometry-optimized Nd4Bi2H structure. Source: Alexandria via LeMat-Bulk, functional GGA-PBE.

The structure in POSCAR format:
```
Nd4Bi2H
1.0
-1.9508 3.7393 -1.9979
-3.5856 -2.6286 -1.4188
-1.6063 1.2661 9.3889
Nd Bi H
4 2 1
direct
0.5000 0.0000 0.0000 Nd
0.8213 0.8213 0.6426 Nd
0.1787 0.1787 0.3574 Nd
0.0000 0.5000 0.0000 Nd
0.3616 0.3616 0.7231 Bi
0.6384 0.6384 0.2769 Bi
0.0000 0.0000 0.0000 H
```

- Offset from the most stable computed form: 0.0 meV/atom
- Total magnetization: 0.350 Bohr magnetons per cell
- ρ: 8.41 g cm⁻³
- Symmetry: I4/mmm, No. 139

no.,uncorrected energy (eV/atom)
1,-6.15
2,-5.75
3,-3.27
4,-6.09
5,-3.48
6,-1.35
7,-3.20
8,-4.86
9,-6.77
10,-2.97
11,-5.29
12,-4.32
13,-4.69
14,-6.63
15,-5.04
16,-5.88
17,-6.57
18,-7.56
19,-4.99
20,-4.99